Cu3AgS GGA-PBE optimized geometry; raw total energy = -0.2029 Ry/atom; size of the total moment = 0.00 μB per cell
1.0
4.696 0.000 0.000
0.000 4.696 0.000
0.000 0.000 4.696
Cu Ag S
3 1 1
Cartesian
0.000 0.000 2.348
0.000 2.348 0.000
2.348 0.000 0.000
0.000 0.000 0.000
2.348 2.348 2.348